Compound: FeIrOs
Source: the Alexandria database
Functional: GGA-PBEsol
Structure: relaxed

Values from the calculation:
**Crystal system**: orthorhombic
**Volume**: 38.8 Å³/f.u.
**Total magnetic moment**: 1.43 μB/cell
**ΔH_f (0 K)**: 22.3 meV per atom

Lattice parameters (Å, degrees): 2.663 3.694 4.555 113.92 107.00 90.00
Site moments in Bohr magnetons follow the coordinates.
Sites, in units of the cell vectors:
Fe 0.997 0.997 0.995  1.67
Ir 0.665 0.665 0.331  -0.02
Os 0.337 0.337 0.674  -0.20